No. 1
# SrReTc2, single point on PBEsol structure, DFT SCAN
# **ΔE to the lowest computed polymorph**: 5.6 kJ per mole of atoms
# **Formation energy from the elements**: 0.6619 eV per atom
data_SrReTc2
_chemical_formula_sum 'Sr1 Re1 Tc2'
_space_group_name_H-M_alt 'P 1 2/m 1'
_space_group_IT_number 10
_space_group_name_Hall '-P 2y'
_cell_length_a 2.851
_cell_length_b 4.062
_cell_length_c 6.698
_cell_angle_alpha 90.00
_cell_angle_beta 101.60
_cell_angle_gamma 90.00
loop_
_atom_site_label
_atom_site_type_symbol
_atom_site_fract_x
_atom_site_fract_y
_atom_site_fract_z
_atom_site_occupancy
Sr1 Sr 0.000 0.000 0.000 1
Re1 Re 0.000 0.000 0.500 1
Tc1 Tc 0.407 0.500 0.674 1


No. 2
# Sr3ReTc, single point on PBEsol structure, DFT SCAN
# **Formation energy from the elements**: 1.5787 eV per atom
data_Sr3ReTc
_chemical_formula_sum 'Sr3 Re1 Tc1'
_space_group_name_H-M_alt 'P m -3 m'
_space_group_IT_number 221
_space_group_name_Hall '-P 4 2 3'
_cell_length_a 5.571
_cell_length_b 5.571
_cell_length_c 5.571
_cell_angle_alpha 90.00
_cell_angle_beta 90.00
_cell_angle_gamma 90.00
loop_
_atom_site_label
_atom_site_type_symbol
_atom_site_fract_x
_atom_site_fract_y
_atom_site_fract_z
_atom_site_occupancy
Sr1 Sr 0.000 0.000 0.500 1
Re1 Re 0.000 0.000 0.000 1
Tc1 Tc 0.500 0.500 0.500 1


No. 3
# SrReTc, single point on PBEsol structure, DFT SCAN
# **Formation energy from the elements**: 2.8356 eV per atom
data_SrReTc
_chemical_formula_sum 'Sr4 Re4 Tc4'
_space_group_name_H-M_alt 'F -4 3 m'
_space_group_IT_number 216
_space_group_name_Hall 'F -4 2 3'
_cell_length_a 6.346
_cell_length_b 6.346
_cell_length_c 6.346
_cell_angle_alpha 90.00
_cell_angle_beta 90.00
_cell_angle_gamma 90.00
loop_
_atom_site_label
_atom_site_type_symbol
_atom_site_fract_x
_atom_site_fract_y
_atom_site_fract_z
_atom_site_occupancy
Sr1 Sr 0.000 0.000 0.000 1
Re1 Re 0.250 0.250 0.250 1
Tc1 Tc 0.250 0.250 0.750 1


No. 4
# SrReTc2, single point on PBEsol structure, DFT SCAN
# **ΔE to the lowest computed polymorph**: 0.0 kJ per mole of atoms
# **Formation energy from the elements**: 0.6036 eV per atom
data_SrReTc2
_chemical_formula_sum 'Sr2 Re2 Tc4'
_space_group_name_H-M_alt 'C 1 2/m 1'
_space_group_IT_number 12
_space_group_name_Hall '-C 2y'
_cell_length_a 9.239
_cell_length_b 3.001
_cell_length_c 5.851
_cell_angle_alpha 90.00
_cell_angle_beta 103.66
_cell_angle_gamma 90.00
loop_
_atom_site_label
_atom_site_type_symbol
_atom_site_fract_x
_atom_site_fract_y
_atom_site_fract_z
_atom_site_occupancy
Sr1 Sr 0.000 0.000 0.000 1
Re1 Re 0.000 0.500 0.500 1
Tc1 Tc 0.216 0.000 0.654 1


No. 5
# SrReTc2, single point on PBEsol structure, DFT SCAN
# **ΔE to the lowest computed polymorph**: 47.2 kJ per mole of atoms
# **Formation energy from the elements**: 1.0931 eV per atom
data_SrReTc2
_chemical_formula_sum 'Sr1 Re1 Tc2'
_space_group_name_H-M_alt 'P 4/m m m'
_space_group_IT_number 123
_space_group_name_Hall '-P 4 2'
_cell_length_a 4.667
_cell_length_b 4.667
_cell_length_c 3.066
_cell_angle_alpha 90.00
_cell_angle_beta 90.00
_cell_angle_gamma 90.00
loop_
_atom_site_label
_atom_site_type_symbol
_atom_site_fract_x
_atom_site_fract_y
_atom_site_fract_z
_atom_site_occupancy
Sr1 Sr 0.000 0.000 0.000 1
Re1 Re 0.500 0.500 0.000 1
Tc1 Tc 0.000 0.500 0.500 1


No. 6
# SrRe3Te, single point on PBEsol structure, DFT SCAN
# **Formation energy without anion corrections**: 1.954 eV/atom
data_SrRe3Te
_chemical_formula_sum 'Sr1 Re3 Te1'
_space_group_name_H-M_alt 'P m -3 m'
_space_group_IT_number 221
_space_group_name_Hall '-P 4 2 3'
_cell_length_a 4.888
_cell_length_b 4.888
_cell_length_c 4.888
_cell_angle_alpha 90.00
_cell_angle_beta 90.00
_cell_angle_gamma 90.00
loop_
_atom_site_label
_atom_site_type_symbol
_atom_site_fract_x
_atom_site_fract_y
_atom_site_fract_z
_atom_site_occupancy
Sr1 Sr 0.000 0.000 0.000 1
Re1 Re 0.000 0.500 0.500 1
Te1 Te 0.500 0.500 0.500 1